Arrangement w

The following is a DFT calculation (PBE) of crystalline Be2CuIr at its relaxed geometry.

Computed properties:
* volume: 49 Å³/f.u.

abc: 3.591 3.591 15.312
angles: 90.00 90.00 90.00
Fractional coordinates of all 16 atoms:
Be (0.223, 0.250, 0.125)
Be (0.250, 0.723, 0.375)
Be (0.250, 0.777, 0.875)
Be (0.277, 0.250, 0.625)
Be (0.723, 0.750, 0.625)
Be (0.750, 0.223, 0.875)
Be (0.750, 0.277, 0.375)
Be (0.777, 0.750, 0.125)
Cu (0.000, 0.000, 0.500)
Cu (0.000, 0.500, 0.750)
Cu (0.500, 0.000, 0.250)
Cu (0.500, 0.500, 0.000)
Ir (0.000, 0.000, 0.000)
Ir (0.000, 0.500, 0.250)
Ir (0.500, 0.000, 0.750)
Ir (0.500, 0.500, 0.500)

Arrangement x

The following is a DFT calculation (PBE) of crystalline Be2CuIr at its relaxed geometry.

Computed properties:
* volume: 46 Å³/f.u.

abc: 2.739 4.387 7.735
angles: 90.00 90.00 90.00
Fractional coordinates of all 8 atoms:
Be (0.000, 0.000, 0.000)
Be (0.000, 0.500, 0.234)
Be (0.500, 0.000, 0.234)
Be (0.500, 0.500, 0.000)
Cu (0.000, 0.500, 0.768)
Cu (0.500, 0.000, 0.768)
Ir (0.000, 0.000, 0.470)
Ir (0.500, 0.500, 0.470)

The calculated energies rank the structures as follows, beginning with the most stable: arrangement x, arrangement w.

Arrangement w

The following is a DFT calculation (PBE) of crystalline BeCuIr3 at its relaxed geometry.

Computed properties:
* volume: 69 Å³/f.u.

abc: 4.111 4.111 4.111
angles: 90.00 90.00 90.00
Fractional coordinates of all 5 atoms:
Be (0.000, 0.000, 0.000)
Cu (0.500, 0.500, 0.500)
Ir (0.000, 0.000, 0.500)
Ir (0.000, 0.500, 0.000)
Ir (0.500, 0.000, 0.000)

Arrangement x

The following is a DFT calculation (PBE) of crystalline BeCuIr3 at its relaxed geometry.

Computed properties:
* volume: 88 Å³/f.u.

abc: 4.442 4.442 4.442
angles: 90.00 90.00 90.00
Fractional coordinates of all 5 atoms:
Be (0.000, 0.000, 0.000)
Cu (0.500, 0.500, 0.500)
Ir (0.000, 0.500, 0.500)
Ir (0.500, 0.000, 0.500)
Ir (0.500, 0.500, 0.000)

The calculated energies rank the structures as follows, beginning with the most stable: arrangement w, arrangement x.

Arrangement w

The following is a DFT calculation (PBE) of crystalline Be2CuIr2 at its relaxed geometry.

Computed properties:
* volume: 56 Å³/f.u.

abc: 6.190 6.190 2.935
angles: 90.00 90.00 90.00
Fractional coordinates of all 10 atoms:
Be (0.129, 0.371, 0.000)
Be (0.371, 0.871, 0.000)
Be (0.629, 0.129, 0.000)
Be (0.871, 0.629, 0.000)
Cu (0.000, 0.000, 0.000)
Cu (0.500, 0.500, 0.000)
Ir (0.166, 0.666, 0.500)
Ir (0.334, 0.166, 0.500)
Ir (0.666, 0.834, 0.500)
Ir (0.834, 0.334, 0.500)

Arrangement x

The following is a DFT calculation (PBE) of crystalline Be2CuIr2 at its relaxed geometry.

Computed properties:
* volume: 67 Å³/f.u.

abc: 4.067 4.067 8.157
angles: 90.00 90.00 90.00
Fractional coordinates of all 10 atoms:
Be (0.000, 0.500, 0.250)
Be (0.000, 0.500, 0.750)
Be (0.500, 0.000, 0.250)
Be (0.500, 0.000, 0.750)
Cu (0.000, 0.000, 0.000)
Cu (0.500, 0.500, 0.500)
Ir (0.000, 0.000, 0.352)
Ir (0.000, 0.000, 0.648)
Ir (0.500, 0.500, 0.148)
Ir (0.500, 0.500, 0.852)

The calculated energies rank the structures as follows, beginning with the most stable: arrangement w, arrangement x.

Arrangement w

The following is a DFT calculation (PBE) of crystalline KBeCu3 at its relaxed geometry.

Computed properties:
* volume: 87 Å³/f.u.

abc: 4.433 4.433 4.433
angles: 90.00 90.00 90.00
Fractional coordinates of all 5 atoms:
K (0.000, 0.000, 0.000)
Be (0.500, 0.500, 0.500)
Cu (0.000, 0.500, 0.500)
Cu (0.500, 0.000, 0.500)
Cu (0.500, 0.500, 0.000)

Arrangement x

The following is a DFT calculation (PBE) of crystalline KBeCu3 at its relaxed geometry.

Computed properties:
* volume: 122 Å³/f.u.

abc: 4.958 4.958 4.958
angles: 90.00 90.00 90.00
Fractional coordinates of all 5 atoms:
K (0.000, 0.000, 0.000)
Be (0.500, 0.500, 0.500)
Cu (0.000, 0.000, 0.500)
Cu (0.000, 0.500, 0.000)
Cu (0.500, 0.000, 0.000)

The calculated energies rank the structures as follows, beginning with the most stable: arrangement w, arrangement x.